# LaNdSm5Dy2 | Alexandria | PBE | relaxed
# energy of formation: 270 meV/atom
data_LaNdSm5Dy2
_cell_length_a 8.786
_cell_length_b 8.786
_cell_length_c 16.023
_cell_angle_alpha 90.00
_cell_angle_beta 90.00
_cell_angle_gamma 90.00
_symmetry_space_group_name_H-M 'I 4/m c m'
_symmetry_Int_Tables_number 140
_symmetry_space_group_name_Hall '-I 4 2c'
loop_
_atom_site_label
_atom_site_fract_x
_atom_site_fract_y
_atom_site_fract_z
La1 0.000 0.000 0.250
Nd1 0.000 0.500 0.250
Sm1 0.000 0.000 0.000
Sm2 0.198 0.302 0.133
Dy1 0.120 0.380 0.500

***

# PrEr3Te4 | Alexandria | PBE | relaxed
# E_form (uncorrected): -1.26 eV/atom
data_PrEr3Te4
_cell_length_a 8.919
_cell_length_b 12.376
_cell_length_c 4.289
_cell_angle_alpha 90.00
_cell_angle_beta 90.00
_cell_angle_gamma 90.00
_symmetry_space_group_name_H-M 'C m m m'
_symmetry_Int_Tables_number 65
_symmetry_space_group_name_Hall '-C 2 2'
loop_
_atom_site_label
_atom_site_fract_x
_atom_site_fract_y
_atom_site_fract_z
Pr1 0.000 0.000 0.000
Er1 0.000 0.500 0.000
Er2 0.250 0.250 0.500
Te1 0.000 0.256 0.000
Te2 0.238 0.500 0.500

***

# Sc2CrHg | Alexandria | PBE | relaxed
# energy of formation: 348 meV/atom
data_Sc2CrHg
_cell_length_a 3.1806
_cell_length_b 3.1806
_cell_length_c 30.2958
_cell_angle_alpha 90.00
_cell_angle_beta 90.00
_cell_angle_gamma 120.00
_symmetry_space_group_name_H-M 'R -3 m'
_symmetry_Int_Tables_number 166
_symmetry_space_group_name_Hall '-R 3 2"'
loop_
_atom_site_label
_atom_site_fract_x
_atom_site_fract_y
_atom_site_fract_z
Sc1 0.0000 0.0000 0.0988
Cr1 0.0000 0.0000 0.5000
Hg1 0.0000 0.0000 0.0000

***

# Ho3Si4Pd7 | Alexandria | PBE | relaxed
# E_form (uncorrected): -0.93 eV/atom
data_Ho3Si4Pd7
_cell_length_a 15.513
_cell_length_b 4.031
_cell_length_c 9.406
_cell_angle_alpha 90.00
_cell_angle_beta 125.22
_cell_angle_gamma 90.00
_symmetry_space_group_name_H-M 'C 1 2/m 1'
_symmetry_Int_Tables_number 12
loop_
_symmetry_equiv_pos_as_xyz
'x,y,z'
'-x,-y,-z'
'-x,y,-z'
'x,-y,z'
'x+1/2,y+1/2,z'
'-x+1/2,-y+1/2,-z'
'-x+1/2,y+1/2,-z'
'x+1/2,-y+1/2,z'
loop_
_atom_site_label
_atom_site_fract_x
_atom_site_fract_y
_atom_site_fract_z
Ho1 0.000 0.000 0.000
Ho2 0.175 0.500 0.673
Si1 0.110 0.000 0.827
Si2 0.165 0.500 0.269
Pd1 0.000 0.000 0.500
Pd2 0.008 0.500 0.276
Pd3 0.170 0.000 0.422
Pd4 0.194 0.500 0.036

***

# BC2 | Alexandria | PBE | relaxed
# polymorph energy (0 for the lowest one): 26 kJ/mol of formula units
# energy of formation: 330 meV/atom
data_BC2
_cell_length_a 3.869
_cell_length_b 2.504
_cell_length_c 7.914
_cell_angle_alpha 90.00
_cell_angle_beta 90.69
_cell_angle_gamma 90.00
_symmetry_space_group_name_H-M 'P 1 m 1'
_symmetry_Int_Tables_number 6
loop_
_symmetry_equiv_pos_as_xyz
'x,y,z'
'x,-y,z'
loop_
_atom_site_label
_atom_site_fract_x
_atom_site_fract_y
_atom_site_fract_z
B1 0.000 0.000 0.000
B2 0.044 0.000 0.341
B3 0.516 0.500 0.837
B4 0.720 0.500 0.352
C1 0.000 0.000 0.674
C2 0.228 0.000 0.834
C3 0.265 0.000 0.520
C4 0.289 0.000 0.182
C5 0.491 0.500 0.158
C6 0.491 0.500 0.521
C7 0.739 0.500 0.015
C8 0.766 0.500 0.670

***

# HfMgAl | Alexandria | PBE | relaxed
# energy of formation: 35 meV/atom
data_HfMgAl
_cell_length_a 3.041
_cell_length_b 3.041
_cell_length_c 26.858
_cell_angle_alpha 90.00
_cell_angle_beta 90.00
_cell_angle_gamma 90.00
_symmetry_space_group_name_H-M 'I 4/m m m'
_symmetry_Int_Tables_number 139
_symmetry_space_group_name_Hall '-I 4 2'
loop_
_atom_site_label
_atom_site_fract_x
_atom_site_fract_y
_atom_site_fract_z
Hf1 0.000 0.000 0.057
Mg1 0.000 0.000 0.205
Al1 0.000 0.000 0.372